# 1
Nd2Al4Pd3Au (PBE, optimized geometry); formation energy = -820 meV/atom
1.0
-3.545 2.316 0.836
-1.986 -1.824 -3.369
-3.566 -7.728 6.286
Nd Au Al Pd
2 1 4 3
direct
0.000 0.500 0.755
0.500 0.000 0.245
0.500 0.500 0.500
0.500 0.000 0.633
0.500 0.500 0.000
0.000 0.000 0.000
0.000 0.500 0.367
0.000 0.000 0.500
0.500 0.000 0.870
0.000 0.500 0.130


# 2
Pm2NdAlAu4 (PBE, optimized geometry); formation energy = -701 meV/atom
1.0
-2.911 -2.963 -2.950
2.134 -2.844 -3.648
0.646 -8.265 3.265
Nd Al Pm Au
1 1 2 4
direct
0.000 0.000 0.000
0.500 0.500 0.500
0.240 0.240 0.281
0.760 0.760 0.719
0.120 0.120 0.640
0.611 0.611 0.168
0.880 0.880 0.360
0.389 0.389 0.832


# 3
NdAl4Pt2Au (PBE, optimized geometry); formation energy = -763 meV/atom
1.0
-2.909 -1.624 2.707
-1.666 -3.891 -0.720
5.254 -5.665 5.652
Au Nd Pt Al
1 1 2 4
direct
0.500 0.500 0.500
0.000 0.000 0.000
0.247 0.247 0.258
0.753 0.753 0.742
0.126 0.126 0.623
0.404 0.404 0.789
0.874 0.874 0.377
0.596 0.596 0.211


# 4
Nd2Al3Pt4Au (PBE, optimized geometry); formation energy = -998 meV/atom
1.0
4.109 0.000 0.000
0.000 4.109 0.000
0.000 0.000 11.581
Pt Al Nd Au
4 3 2 1
direct
0.000 0.500 0.338
0.500 0.500 0.000
0.000 0.000 0.000
0.500 0.000 0.662
0.000 0.000 0.500
0.500 0.000 0.876
0.000 0.500 0.124
0.500 0.000 0.255
0.000 0.500 0.745
0.500 0.500 0.500


# 5
Nd2Al3Pt12Au (PBE, optimized geometry); formation energy = -395 meV/atom
1.0
7.800 -0.258 -0.183
3.628 6.909 -0.183
3.628 2.112 6.581
Nd Al Pt Au
2 3 12 1
direct
0.390 0.390 0.390
0.610 0.610 0.610
0.000 0.500 0.000
0.500 0.000 0.000
0.000 0.000 0.500
0.634 0.634 0.105
0.859 0.390 0.859
0.366 0.366 0.895
0.859 0.859 0.390
0.105 0.634 0.634
0.610 0.141 0.141
0.390 0.859 0.859
0.895 0.366 0.366
0.634 0.105 0.634
0.141 0.141 0.610
0.141 0.610 0.141
0.366 0.895 0.366
0.000 0.000 0.000


# 6
Nd2Al2Pt5Au (PBE, optimized geometry); formation energy = -826 meV/atom
1.0
3.755 0.000 0.000
0.000 9.964 0.000
0.000 0.000 9.964
Pt Nd Al Au
10 4 4 2
direct
0.500 0.712 0.441
0.500 0.941 0.212
0.500 0.059 0.788
0.500 0.000 0.500
0.500 0.441 0.288
0.500 0.788 0.941
0.500 0.500 0.000
0.500 0.288 0.559
0.500 0.212 0.059
0.500 0.559 0.712
0.000 0.819 0.681
0.000 0.319 0.819
0.000 0.681 0.181
0.000 0.181 0.319
0.000 0.617 0.883
0.000 0.383 0.117
0.000 0.117 0.617
0.000 0.883 0.383
0.000 0.000 0.000
0.000 0.500 0.500


# 7
Nd2Al4PtAu3 (PBE, optimized geometry); formation energy = -822 meV/atom
1.0
-2.163 -1.876 -3.340
3.776 -1.691 -1.495
-1.536 -8.558 5.802
Al Au Nd Pt
4 3 2 1
direct
0.500 0.000 0.625
0.000 0.000 0.000
0.500 0.500 0.000
0.000 0.500 0.375
0.500 0.000 0.866
0.000 0.500 0.134
0.000 0.000 0.500
0.500 0.000 0.253
0.000 0.500 0.747
0.500 0.500 0.500


# 8
Nd2Al4RhAu3 (PBE, optimized geometry); formation energy = -768 meV/atom
1.0
4.351 0.000 0.000
0.000 4.351 0.000
0.000 0.000 10.572
Au Rh Nd Al
3 1 2 4
direct
0.000 0.000 0.500
0.500 0.000 0.864
0.000 0.500 0.136
0.500 0.500 0.500
0.000 0.500 0.746
0.500 0.000 0.254
0.000 0.000 0.000
0.500 0.000 0.624
0.000 0.500 0.376
0.500 0.500 0.000


# 9
Nd2ScAl3Au4 (PBE, optimized geometry); formation energy = -715 meV/atom
1.0
4.481 0.000 0.000
0.000 4.481 0.000
0.000 0.000 10.718
Nd Sc Au Al
2 1 4 3
direct
0.500 0.000 0.234
0.000 0.500 0.766
0.500 0.500 0.500
0.500 0.000 0.643
0.000 0.500 0.357
0.000 0.000 0.000
0.500 0.500 0.000
0.000 0.000 0.500
0.000 0.500 0.126
0.500 0.000 0.874


# 10
NdScAlAu (PBE, optimized geometry); formation energy = -491 meV/atom
1.0
5.083 0.000 0.000
2.542 4.402 0.000
2.542 1.467 4.150
Sc Al Au Nd
1 1 1 1
direct
0.250 0.250 0.250
0.500 0.500 0.500
0.000 0.000 0.000
0.750 0.750 0.750


# 11
Nd2AlSi3Au4 (PBE, optimized geometry); formation energy without anion corrections = -0.644 eV per atom
1.0
4.311 0.000 0.000
0.000 4.311 0.000
0.000 0.000 10.570
Si Nd Al Au
3 2 1 4
direct
0.000 0.500 0.135
0.500 0.000 0.865
0.000 0.000 0.500
0.500 0.000 0.243
0.000 0.500 0.757
0.500 0.500 0.500
0.000 0.500 0.368
0.500 0.500 0.000
0.000 0.000 0.000
0.500 0.000 0.632


# 12
Nd2AlSnAu6 (PBE, optimized geometry); formation energy = -506 meV/atom
1.0
-4.807 3.183 0.464
-5.166 -7.542 -1.783
-0.355 -1.788 8.591
Au Nd Al Sn
12 4 2 2
direct
0.500 0.109 0.245
0.000 0.891 0.745
0.500 0.109 0.755
0.753 0.530 0.000
0.244 0.018 0.500
0.256 0.982 0.000
0.756 0.018 0.500
0.747 0.470 0.500
0.000 0.891 0.255
0.744 0.982 0.000
0.247 0.530 0.000
0.253 0.470 0.500
0.500 0.741 0.756
0.500 0.741 0.244
0.000 0.259 0.256
0.000 0.259 0.744
0.500 0.249 0.500
0.000 0.751 0.000
0.500 0.284 0.000
0.000 0.716 0.500


- Number 2 is which compound?
  Pm2NdAlAu4